(1)
{
  "formula": "LiPrPd2",
  "functional": "PBE",
  "state": "optimized geometry",
  "magmom_total_mub_per_cell": 0.00,
  "space_group": "No. 65",
  "formation_energy_ev_per_atom": -0.4673,
  "volume_a3_per_atom": 21.17,
  "rho_g_cm3": 7.072,
  "cell": [[-1.9016, 0.8684, 3.1890], [3.4940, -2.0019, 2.6286], [1.2107, 4.6229, -0.5369]],
  "species": ["Li", "Pr", "Pd", "Pd"],
  "frac_coords": [[0.5000, 0.4453, 0.5547], [0.0000, 0.9446, 0.0554], [0.5000, 0.9453, 0.5552], [0.5000, 0.4448, 0.0547]]
}

***

(2)
{
  "formula": "RbZrC2",
  "functional": "PBE",
  "state": "optimized geometry",
  "magmom_total_mub_per_cell": 0.00,
  "space_group": "No. 225",
  "formation_energy_ev_per_atom": 2.0933,
  "polymorph_energy_mev_per_atom": 945,
  "volume_a3_per_atom": 15.70,
  "rho_g_cm3": 5.307,
  "cell": [[0.0000, 3.1549, 3.1549], [3.1549, 0.0000, 3.1549], [3.1549, 3.1549, 0.0000]],
  "species": ["C", "C", "Rb", "Zr"],
  "frac_coords": [[0.2500, 0.2500, 0.2500], [0.7500, 0.7500, 0.7500], [0.0000, 0.0000, 0.0000], [0.5000, 0.5000, 0.5000]]
}